No. 1
K3NaAg6: relaxed, PBE-GGA.

Cell lengths 13.4488, 5.7736, 7.9291 Å; angles 90.00, 120.50, 90.00 degrees
Closest atoms and distances in Å follow each position.
Space group C2/m (No. 12)
Inequivalent atoms, fractional coordinates:
K  0.0000  0.0000  0.0000  6 Ag 3.37-3.39, 4 K 3.53
K  0.0076  0.5000  0.2630  3 Ag 3.17-3.40, 2 Na 3.47, 2 K 3.53
Na  0.0000  0.0000  0.5000  6 Ag 3.08-3.22
Ag  0.2195  0.0000  0.4708  6 Ag 2.93-2.97, 1 Na 3.08, 1 K 3.17
Ag  0.2391  0.2463  0.8090  5 Ag 2.84-2.94

Results
energy of formation from the pure elements: 0.07 eV/atom

=====

No. 2
Sm5DyTh: relaxed, PBE-GGA.

Cell lengths 8.7437, 9.8170, 11.6412 Å; angles 90.00, 109.36, 90.00 degrees
Closest atoms and distances in Å follow each position.
Space group C2/c (No. 15)
Inequivalent atoms, fractional coordinates:
Sm  0.0000  0.0950  0.2500  6 Sm 3.31-3.69, 2 Th 3.37, 1 Dy 3.40
Sm  0.1216  0.4332  0.1652  5 Sm 3.35-3.72, 2 Dy 3.52-3.61, 1 Th 3.65
Sm  0.1692  0.1014  0.0343  6 Sm 3.31-3.69, 2 Dy 3.46-3.47, 1 Th 3.57
Dy  0.0000  0.2515  0.7500  9 Sm 3.40-3.61
Th  0.2500  0.2500  0.5000  6 Sm 3.37-3.65

Results
energy of formation from the pure elements: 0.14 eV/atom

=====

No. 3
CrCd3: relaxed, PBE-GGA.

Cell lengths 3.1493, 4.8680, 5.3301 Å; angles 90.00, 90.00, 90.00 degrees
Closest atoms and distances in Å follow each position.
Space group Pmm2 (No. 25)
Inequivalent atoms, fractional coordinates:
Cr  0.0000  0.0000  0.0000  10 Cd 2.99-3.14, 2 Cr 3.15
Cd  0.0000  0.5000  0.6746  2 Cr 2.99, 10 Cd 3.02-3.17
Cd  0.5000  0.0000  0.4899  8 Cd 3.01-3.15, 4 Cr 3.05-3.14
Cd  0.5000  0.5000  0.1575  8 Cd 3.01-3.17, 4 Cr 3.02

Results
energy of formation from the pure elements: 0.26 eV/atom

=====

No. 4
NiHgB2: relaxed, PBE-GGA.

Cell lengths 3.6887, 3.6887, 14.4137 Å; angles 90.00, 90.00, 90.00 degrees
Closest atoms and distances in Å follow each position.
Space group I4_1/amd (No. 141, origin choice 2)
Inequivalent atoms, fractional coordinates:
Ni  0.0000  0.2500  0.3750  4 B 2.02
Hg  0.0000  0.2500  0.8750  4 Ni 2.61, 8 B 2.74
B  0.0000  0.0000  0.5000  2 B 1.84, 2 Ni 2.02

Results
energy of formation from the pure elements: 0.48 eV/atom

=====

no.,E (eV per atom)
1,-2.104
2,-4.949
3,-2.831
4,-4.378